# KCu3Ag4F12 | the Alexandria database | PBE | optimized geometry
# **Formation energy without anion corrections**: -140 kJ/mol of atoms
data_KCu3Ag4F12
_chemical_formula_sum 'K2 Cu6 Ag8 F24'
_symmetry_space_group_name_H-M 'I m -3'
_symmetry_Int_Tables_number 204
_symmetry_space_group_name_Hall '-I 2 2 3'
_cell_length_a 8.4802
_cell_length_b 8.4802
_cell_length_c 8.4802
_cell_angle_alpha 90.00
_cell_angle_beta 90.00
_cell_angle_gamma 90.00
loop_
_atom_site_label
_atom_site_type_symbol
_atom_site_fract_x
_atom_site_fract_y
_atom_site_fract_z
_atom_site_occupancy
K1 K 0.0000 0.0000 0.0000 1
Cu1 Cu 0.0000 0.0000 0.5000 1
Ag1 Ag 0.2500 0.2500 0.2500 1
F1 F 0.0000 0.3351 0.1554 1